# PBE-GGA AcScUO6, relaxed
# volume	16.075	Å³ per atom
# final energy	-9.12	eV per atom
# formation energy from raw total energies	-30.565	eV per formula unit
# density of states at the Fermi level	0.00	states/eV/cell
data_AcScUO6
_chemical_formula_sum 'Ac2 Sc2 U2 O12'
_space_group_name_H-M_alt 'P -3 1 c'
_space_group_IT_number 163
_space_group_name_Hall '-P 3 2c'
_cell_length_a 5.6381
_cell_length_b 5.6381
_cell_length_c 10.5108
_cell_angle_alpha 90.00
_cell_angle_beta 90.00
_cell_angle_gamma 120.00
loop_
_atom_site_label
_atom_site_fract_x
_atom_site_fract_y
_atom_site_fract_z
Ac1 0.0000 0.0000 0.0000
Sc1 0.3333 0.6667 0.2500
U1 0.3333 0.6667 0.7500
O1 0.0048 0.3683 0.6440

=====

# PBE-GGA Cr2SN, relaxed
# volume	10.283	Å³ per atom
# final energy	-7.70	eV per atom
# formation energy from raw total energies	0.900	eV per formula unit
# density of states at the Fermi level	5.18	states/eV/cell
data_Cr2SN
_chemical_formula_sum 'Cr8 S4 N4'
_space_group_name_H-M_alt 'F m -3 m'
_space_group_IT_number 225
_space_group_name_Hall '-F 4 2 3'
_cell_length_a 5.480
_cell_length_b 5.480
_cell_length_c 5.480
_cell_angle_alpha 90.00
_cell_angle_beta 90.00
_cell_angle_gamma 90.00
loop_
_atom_site_label
_atom_site_fract_x
_atom_site_fract_y
_atom_site_fract_z
Cr1 0.250 0.250 0.250
S1 0.000 0.000 0.000
N1 0.000 0.000 0.500

=====

# PBE-GGA PIr4Rh, relaxed
# volume	16.187	Å³ per atom
# final energy	-7.23	eV per atom
# density of states at the Fermi level	50.13	states/eV/cell
data_PIr4Rh
_chemical_formula_sum 'P4 Ir16 Rh4'
_space_group_name_H-M_alt 'F -4 3 m'
_space_group_IT_number 216
_space_group_name_Hall 'F -4 2 3'
_cell_length_a 7.297
_cell_length_b 7.297
_cell_length_c 7.297
_cell_angle_alpha 90.00
_cell_angle_beta 90.00
_cell_angle_gamma 90.00
loop_
_atom_site_label
_atom_site_fract_x
_atom_site_fract_y
_atom_site_fract_z
P1 0.000 0.000 0.000
Ir1 0.125 0.125 0.375
Rh1 0.250 0.250 0.750

=====

# PBE-GGA PmTm5Pb6, relaxed
# volume	28.985	Å³ per atom
# final energy	-4.51	eV per atom
# density of states at the Fermi level	14.65	states/eV/cell
data_PmTm5Pb6
_chemical_formula_sum 'Pm2 Tm10 Pb12'
_space_group_name_H-M_alt 'C 1 2/m 1'
_space_group_IT_number 12
_cell_length_a 6.089
_cell_length_b 15.236
_cell_length_c 7.718
_cell_angle_alpha 90.00
_cell_angle_beta 103.72
_cell_angle_gamma 90.00
loop_
_space_group_symop_operation_xyz
'x,y,z'
'-x,-y,-z'
'-x,y,-z'
'x,-y,z'
'x+1/2,y+1/2,z'
'-x+1/2,-y+1/2,-z'
'-x+1/2,y+1/2,-z'
'x+1/2,-y+1/2,z'
loop_
_atom_site_label
_atom_site_fract_x
_atom_site_fract_y
_atom_site_fract_z
Pm1 0.000 0.000 0.000
Tm1 0.000 0.000 0.500
Tm2 0.000 0.330 0.000
Tm3 0.000 0.340 0.500
Pb1 0.002 0.170 0.742
Pb2 0.013 0.500 0.244

=====

# PBE-GGA NbInPdPt, relaxed
# volume	17.452	Å³ per atom
# final energy	-6.40	eV per atom
# density of states at the Fermi level	11.79	states/eV/cell
data_NbInPdPt
_chemical_formula_sum 'Nb4 In4 Pd4 Pt4'
_space_group_name_H-M_alt 'F -4 3 m'
_space_group_IT_number 216
_space_group_name_Hall 'F -4 2 3'
_cell_length_a 6.536
_cell_length_b 6.536
_cell_length_c 6.536
_cell_angle_alpha 90.00
_cell_angle_beta 90.00
_cell_angle_gamma 90.00
loop_
_atom_site_label
_atom_site_fract_x
_atom_site_fract_y
_atom_site_fract_z
Nb1 0.000 0.000 0.000
In1 0.000 0.000 0.500
Pd1 0.250 0.250 0.750
Pt1 0.250 0.250 0.250

=====

# PBE-GGA LiPdPb2, relaxed
# volume	25.607	Å³ per atom
# final energy	-3.73	eV per atom
# density of states at the Fermi level	5.91	states/eV/cell
data_LiPdPb2
_chemical_formula_sum 'Li4 Pd4 Pb8'
_space_group_name_H-M_alt 'I -4 2 d'
_space_group_IT_number 122
_space_group_name_Hall 'I -4 2bw'
_cell_length_a 8.247
_cell_length_b 8.247
_cell_length_c 6.024
_cell_angle_alpha 90.00
_cell_angle_beta 90.00
_cell_angle_gamma 90.00
loop_
_atom_site_label
_atom_site_fract_x
_atom_site_fract_y
_atom_site_fract_z
Li1 0.000 0.000 0.000
Pd1 0.000 0.000 0.500
Pb1 0.200 0.250 0.625

=====

Q: Among the records above, which one has the lowest final energy?
A: AcScUO6